Computed, not measured: Zr3TiZn2 after structural relaxation at the PBE level of DFT.

Calculated values
mass density: 6.5 g/cm³
formation energy from the elements: -159 meV/atom
distance to the lowest polymorph of the same formula: 0.00 kJ/mol of atoms
electronic total energy: -6.174 eV/atom
calculated volume: 19.32 Å³/atom

Geometry as POSCAR:
```
Zr3TiZn2
1.0
3.269 0.000 0.000
0.000 3.269 0.000
0.000 0.000 10.843
Zr Ti Zn
3 1 2
Direct
0.000 0.000 0.000 Zr
0.000 0.000 0.673 Zr
0.000 0.000 0.327 Zr
0.500 0.500 0.500 Ti
0.500 0.500 0.838 Zn
0.500 0.500 0.162 Zn
```

Computed, not measured: Pm2HoAu2 after structural relaxation at the PBE level of DFT.

Calculated values
mass density: 10.6 g/cm³
formation energy from the elements: -663 meV/atom
electronic total energy: -4.789 eV/atom
calculated volume: 26.70 Å³/atom

Geometry as POSCAR:
```
Pm2HoAu2
1.0
3.886 0.000 0.000
0.000 8.289 0.000
0.000 0.000 8.289
Pm Ho Au
4 2 4
Direct
0.500 0.166 0.666 Pm
0.500 0.666 0.834 Pm
0.500 0.834 0.334 Pm
0.500 0.334 0.166 Pm
0.000 0.000 0.000 Ho
0.000 0.500 0.500 Ho
0.000 0.369 0.869 Au
0.000 0.869 0.631 Au
0.000 0.631 0.131 Au
0.000 0.131 0.369 Au
```

Computed, not measured: Ba2ZrAs after structural relaxation at the PBE level of DFT.

Calculated values
mass density: 5.9 g/cm³
formation energy from the elements: 100 meV/atom
electronic total energy: -4.161 eV/atom
calculated volume: 30.93 Å³/atom

Geometry as POSCAR:
```
Ba2ZrAs
1.0
5.965 -0.030 0.000
-2.281 5.512 0.000
0.000 0.000 3.771
As Ba Zr
1 2 1
Direct
0.000 0.500 0.500 As
0.000 0.000 0.000 Ba
0.500 0.500 0.000 Ba
0.500 0.000 0.500 Zr
```

Computed, not measured: GaHgHAu after structural relaxation at the PBE level of DFT.

Calculated values
mass density: 10.2 g/cm³
distance to the lowest polymorph of the same formula: 4.93 kJ/mol of atoms
electronic total energy: -2.390 eV/atom
calculated volume: 19.00 Å³/atom

Geometry as POSCAR:
```
GaHgHAu
1.0
4.477 -0.052 0.028
1.874 4.074 -0.002
2.147 1.404 4.154
Ga Hg H Au
1 1 1 1
Direct
0.826 0.598 0.854 Ga
0.287 0.060 0.395 Hg
0.691 0.462 0.285 H
0.524 0.297 0.720 Au
```

Computed, not measured: Ho4Ni2Pb after structural relaxation at the PBE level of DFT.

Calculated values
mass density: 9.2 g/cm³
formation energy from the elements: -244 meV/atom
electronic total energy: -5.042 eV/atom
calculated volume: 25.34 Å³/atom

Geometry as POSCAR:
```
Ho4Ni2Pb
1.0
4.654 0.000 0.000
2.327 4.030 0.000
2.327 1.343 9.457
Ho Ni Pb
4 2 1
Direct
0.390 0.390 0.831 Ho
0.201 0.201 0.398 Ho
0.799 0.799 0.602 Ho
0.610 0.610 0.169 Ho
0.101 0.101 0.697 Ni
0.899 0.899 0.303 Ni
0.000 0.000 0.000 Pb
```

Computed, not measured: Ga2F13 after structural relaxation at the PBE level of DFT.

Calculated values
mass density: 3.0 g/cm³
electronic total energy: -3.278 eV/atom
energy relative to the elements, uncorrected: -1.25 eV/atom
calculated volume: 14.49 Å³/atom

Geometry as POSCAR:
```
Ga2F13
1.0
5.068 -0.168 0.691
-0.910 7.214 0.821
0.502 -2.616 5.695
Ga F
2 13
Direct
0.859 0.007 0.744 Ga
0.141 0.993 0.256 Ga
0.178 0.377 0.837 F
0.822 0.623 0.163 F
0.000 0.000 0.000 F
0.197 0.969 0.556 F
0.803 0.031 0.444 F
0.903 0.568 0.575 F
0.097 0.432 0.425 F
0.553 0.578 0.265 F
0.447 0.422 0.735 F
0.619 0.802 0.737 F
0.381 0.198 0.263 F
0.736 0.242 0.895 F
0.264 0.758 0.105 F
```

Computed, not measured: Ti2MnBeB after structural relaxation at the PBE level of DFT.

Calculated values
mass density: 3.8 g/cm³
formation energy from the elements: 720 meV/atom
electronic total energy: -6.353 eV/atom
calculated volume: 14.74 Å³/atom

Geometry as POSCAR:
```
Ti2MnBeB
1.0
-2.627 -3.481 0.307
-0.165 -0.215 -3.847
3.489 -2.634 -0.002
Be B Mn Ti
1 1 1 2
Direct
0.500 0.500 0.500 Be
0.000 0.500 0.000 B
0.000 0.000 0.000 Mn
0.000 0.000 0.500 Ti
0.500 0.000 0.000 Ti
```

Computed, not measured: Zr2TeP after structural relaxation at the PBE level of DFT.

Calculated values
mass density: 4.8 g/cm³
distance to the lowest polymorph of the same formula: 70.36 kJ/mol of atoms
electronic total energy: -6.833 eV/atom
energy relative to the elements, uncorrected: -0.42 eV/atom
calculated volume: 29.29 Å³/atom

Geometry as POSCAR:
```
Zr2TeP
1.0
6.170 0.000 0.000
0.000 6.170 0.000
3.085 3.085 6.156
P Te Zr
2 2 4
Direct
0.500 0.500 0.000 P
0.250 0.750 0.500 P
0.000 0.000 0.000 Te
0.750 0.250 0.500 Te
0.575 0.125 0.250 Zr
0.175 0.625 0.250 Zr
0.375 0.425 0.750 Zr
0.875 0.825 0.750 Zr
```

> The highest electronic total energy belongs to which entry?

GaHgHAu

> Number 3 is which compound?

Ba2ZrAs